# 1
# CsCrRh2F GGA-PBEsol optimized geometry
data_CsCrRh2F
_chemical_formula_sum 'Cs1 Cr1 Rh2 F1'
_symmetry_space_group_name_H-M 'P 1'
_symmetry_Int_Tables_number 1
_cell_length_a 3.729
_cell_length_b 4.960
_cell_length_c 4.960
_cell_angle_alpha 90.00
_cell_angle_beta 90.00
_cell_angle_gamma 90.00
loop_
_symmetry_equiv_pos_as_xyz
'x,y,z'
loop_
_atom_site_label
_atom_site_fract_x
_atom_site_fract_y
_atom_site_fract_z
Cs1 0.500 0.500 0.500
Cr1 0.500 0.000 0.000
Rh1 0.000 0.000 0.500
Rh2 0.000 0.500 0.000
F1 0.000 0.000 0.000
# Calculated total energy ... -5.0568 eV/atom
# Energy relative to the elements, uncorrected ... 0.821 eV/atom



# 2
# Y3GaBi GGA-PBEsol optimized geometry
data_Y3GaBi
_chemical_formula_sum 'Y3 Ga1 Bi1'
_symmetry_space_group_name_H-M 'P 1'
_symmetry_Int_Tables_number 1
_cell_length_a 5.338
_cell_length_b 5.338
_cell_length_c 5.338
_cell_angle_alpha 90.00
_cell_angle_beta 90.00
_cell_angle_gamma 90.00
loop_
_symmetry_equiv_pos_as_xyz
'x,y,z'
loop_
_atom_site_label
_atom_site_fract_x
_atom_site_fract_y
_atom_site_fract_z
Y1 0.000 0.500 0.000
Y2 0.000 0.000 0.500
Y3 0.500 0.000 0.000
Bi1 0.500 0.500 0.500
Ga1 0.000 0.000 0.000
# Calculated total energy ... -5.9541 eV/atom



# 3
# BMo3N GGA-PBEsol optimized geometry
data_BMo3N
_chemical_formula_sum 'B1 Mo3 N1'
_symmetry_space_group_name_H-M 'P 1'
_symmetry_Int_Tables_number 1
_cell_length_a 4.079
_cell_length_b 4.079
_cell_length_c 4.079
_cell_angle_alpha 90.00
_cell_angle_beta 90.00
_cell_angle_gamma 90.00
loop_
_symmetry_equiv_pos_as_xyz
'x,y,z'
loop_
_atom_site_label
_atom_site_fract_x
_atom_site_fract_y
_atom_site_fract_z
Mo1 0.000 0.500 0.000
Mo2 0.000 0.000 0.500
Mo3 0.500 0.000 0.000
B1 0.000 0.000 0.000
N1 0.500 0.500 0.500
# Calculated total energy ... -8.8077 eV/atom
# Energy relative to the elements, uncorrected ... 1.362 eV/atom